# 1
# ZrMnAs2Pb, relaxed, DFT PBE
# E_tot: -24.85 eV for the cell shown
# ΔH_f (0 K): 1.17 eV/atom
# V: 27.73 A^3/atom
data_ZrMnAs2Pb
_chemical_formula_sum 'Zr1 Mn1 As2 Pb1'
_cell_length_a 5.3401
_cell_length_b 5.3401
_cell_length_c 4.8618
_cell_angle_alpha 90.00
_cell_angle_beta 90.00
_cell_angle_gamma 90.00
_symmetry_space_group_name_H-M 'P 4/m m m'
_symmetry_Int_Tables_number 123
_symmetry_space_group_name_Hall '-P 4 2'
loop_
_atom_site_label
_atom_site_type_symbol
_atom_site_fract_x
_atom_site_fract_y
_atom_site_fract_z
_atom_site_occupancy
Zr1 Zr 0.0000 0.0000 0.0000 1
Mn1 Mn 0.5000 0.5000 0.0000 1
As1 As 0.0000 0.5000 0.5000 1
Pb1 Pb 0.5000 0.5000 0.5000 1

# 2
# PmSm2Y6Tm, relaxed, DFT PBE
# E_tot: -225.26 eV for the cell shown
# ΔH_f (0 K): 0.11 eV/atom
# V: 32.92 A^3/atom
data_PmSm2Y6Tm
_chemical_formula_sum 'Pm4 Sm8 Y24 Tm4'
_cell_length_a 9.1093
_cell_length_b 15.0546
_cell_length_c 9.7198
_cell_angle_alpha 90.00
_cell_angle_beta 98.91
_cell_angle_gamma 90.00
_symmetry_space_group_name_H-M 'C 1 2/c 1'
_symmetry_Int_Tables_number 15
loop_
_symmetry_equiv_pos_as_xyz
'x,y,z'
'-x,-y,-z'
'-x,y,-z+1/2'
'x,-y,z+1/2'
'x+1/2,y+1/2,z'
'-x+1/2,-y+1/2,-z'
'-x+1/2,y+1/2,-z+1/2'
'x+1/2,-y+1/2,z+1/2'
loop_
_atom_site_label
_atom_site_type_symbol
_atom_site_fract_x
_atom_site_fract_y
_atom_site_fract_z
_atom_site_occupancy
Pm1 Pm 0.0000 0.0203 0.2500 1
Sm1 Sm 0.2468 0.0503 0.5456 1
Y1 Y 0.0657 0.1883 0.9430 1
Y2 Y 0.0991 0.3942 0.1177 1
Y3 Y 0.2065 0.2227 0.3146 1
Tm1 Tm 0.0000 0.4079 0.7500 1

# 3
# GdLuBeAg, relaxed, DFT PBE
# E_tot: -101.68 eV for the cell shown
# ΔH_f (0 K): -0.06 eV/atom
# V: 21.95 A^3/atom
data_GdLuBeAg
_chemical_formula_sum 'Gd4 Lu4 Be4 Ag4'
_cell_length_a 7.0551
_cell_length_b 7.0551
_cell_length_c 7.0551
_cell_angle_alpha 90.00
_cell_angle_beta 90.00
_cell_angle_gamma 90.00
_symmetry_space_group_name_H-M 'F -4 3 m'
_symmetry_Int_Tables_number 216
_symmetry_space_group_name_Hall 'F -4 2 3'
loop_
_atom_site_label
_atom_site_type_symbol
_atom_site_fract_x
_atom_site_fract_y
_atom_site_fract_z
_atom_site_occupancy
Gd1 Gd 0.0000 0.0000 0.0000 1
Lu1 Lu 0.0000 0.0000 0.5000 1
Be1 Be 0.2500 0.2500 0.7500 1
Ag1 Ag 0.2500 0.2500 0.2500 1